(1)
The following is a PBE calculation of an optimized crystal structure of Fe2ReRh, from the Alexandria database.

Summary:
Fermi-level density of states: 3.7 states/eV/f.u.
energy relative to the elements: 0.09 eV per atom

Geometry as POSCAR:
```
Fe2ReRh
1.0
2.727 0.000 0.000
-1.363 2.361 0.000
0.000 0.000 24.986
Fe Re Rh
6 3 3
Direct
0.000 0.000 0.000
0.000 0.000 0.257
0.333 0.667 0.667
0.333 0.667 0.924
0.667 0.333 0.333
0.667 0.333 0.591
0.000 0.000 0.507
0.333 0.667 0.173
0.667 0.333 0.840
0.000 0.000 0.752
0.333 0.667 0.418
0.667 0.333 0.085
```

(2)
The following is a PBE calculation of an optimized crystal structure of Fe2ReRh9, from the Alexandria database.

Summary:
Fermi-level density of states: 10.2 states/eV/f.u.
energy relative to the elements: -0.07 eV per atom

Geometry as POSCAR:
```
Fe2ReRh9
1.0
3.825 0.000 0.000
0.000 3.825 0.000
0.000 0.000 11.465
Fe Re Rh
2 1 9
Direct
0.000 0.000 0.162
0.000 0.000 0.838
0.000 0.000 0.500
0.000 0.500 0.000
0.000 0.500 0.334
0.000 0.500 0.666
0.500 0.000 0.000
0.500 0.000 0.334
0.500 0.000 0.666
0.500 0.500 0.167
0.500 0.500 0.500
0.500 0.500 0.833
```

(3)
The following is a PBE calculation of an optimized crystal structure of FeRe2RhS, from the Alexandria database.

Summary:
formation energy without anion corrections: 7.581 eV per formula unit
Fermi-level density of states: 8.2 states/eV/f.u.

Geometry as POSCAR:
```
FeRe2RhS
1.0
4.520 0.000 0.000
0.000 4.520 0.000
0.000 0.000 3.958
Fe Re Rh S
1 2 1 1
Direct
0.000 0.000 0.000
0.000 0.500 0.000
0.500 0.000 0.000
0.500 0.500 0.500
0.000 0.000 0.500
```

(4)
The following is a PBE calculation of an optimized crystal structure of ScFeRe2Rh, from the Alexandria database.

Summary:
Fermi-level density of states: 6.3 states/eV/f.u.
energy relative to the elements: 0.88 eV per atom

Geometry as POSCAR:
```
ScFeRe2Rh
1.0
4.414 0.000 0.000
0.000 4.414 0.000
0.000 0.000 4.562
Sc Fe Re Rh
1 1 2 1
Direct
0.000 0.000 0.000
0.500 0.500 0.500
0.000 0.500 0.500
0.500 0.000 0.500
0.500 0.500 0.000
```

(5)
The following is a PBE calculation of an optimized crystal structure of VFeReRh, from the Alexandria database.

Summary:
Fermi-level density of states: 4.5 states/eV/f.u.
energy relative to the elements: -0.06 eV per atom

Geometry as POSCAR:
```
VFeReRh
1.0
6.022 0.000 0.000
0.000 6.022 0.000
0.000 0.000 6.022
V Fe Re Rh
4 4 4 4
Direct
0.000 0.000 0.000
0.000 0.500 0.500
0.500 0.000 0.500
0.500 0.500 0.000
0.000 0.000 0.500
0.000 0.500 0.000
0.500 0.000 0.000
0.500 0.500 0.500
0.250 0.250 0.250
0.250 0.750 0.750
0.750 0.250 0.750
0.750 0.750 0.250
0.250 0.250 0.750
0.250 0.750 0.250
0.750 0.250 0.250
0.750 0.750 0.750
```

(6)
The following is a PBE calculation of an optimized crystal structure of Fe2Re2Ru, from the Alexandria database.

Summary:
Fermi-level density of states: 5.4 states/eV/f.u.
energy relative to the elements: 0.15 eV per atom

Geometry as POSCAR:
```
Fe2Re2Ru
1.0
6.934 0.000 0.000
0.000 6.934 0.000
0.000 0.000 2.732
Fe Re Ru
4 4 2
Direct
0.124 0.376 0.000
0.376 0.876 0.000
0.624 0.124 0.000
0.876 0.624 0.000
0.173 0.673 0.500
0.327 0.173 0.500
0.673 0.827 0.500
0.827 0.327 0.500
0.000 0.000 0.000
0.500 0.500 0.000
```

What did the third record say?
The following is a PBE calculation of an optimized crystal structure of FeRe2RhS, from the Alexandria database.

Summary:
formation energy without anion corrections: 7.581 eV per formula unit
Fermi-level density of states: 8.2 states/eV/f.u.

Geometry as POSCAR:
```
FeRe2RhS
1.0
4.520 0.000 0.000
0.000 4.520 0.000
0.000 0.000 3.958
Fe Re Rh S
1 2 1 1
Direct
0.000 0.000 0.000
0.000 0.500 0.000
0.500 0.000 0.000
0.500 0.500 0.500
0.000 0.000 0.500
```

> Number 5 is which compound?

VFeReRh